1.
! BaRe2Ir, relaxed, DFT GGA-PBE; values from VASP
&SYSTEM
  ibrav = 0, nat = 4, ntyp = 3
/
ATOMIC_SPECIES
Ba 137.33 Ba.upf
Re 186.21 Re.upf
Ir 192.22 Ir.upf
ATOMIC_POSITIONS crystal
Ba 0.000 0.000 0.000
Re 0.507 0.507 0.000
Re 0.694 0.194 0.500
Ir 0.294 0.794 0.500
CELL_PARAMETERS angstrom
-1.562 2.797 4.910
1.562 -2.797 4.910
1.562 2.797 -4.910
! **N(E_F)**: 1.118 states/eV per atom
! **VASP energy**: -7.87 eV per atom
! **Symmetry**: Imm2

---

2.
! BaReIr2, relaxed, DFT GGA-PBE; values from VASP
&SYSTEM
  ibrav = 0, nat = 4, ntyp = 3
/
ATOMIC_SPECIES
Ba 137.33 Ba.upf
Re 186.21 Re.upf
Ir 192.22 Ir.upf
ATOMIC_POSITIONS crystal
Ba 0.000 0.000 0.000
Re 0.500 0.500 0.000
Ir 0.000 0.500 0.500
Ir 0.500 0.000 0.500
CELL_PARAMETERS angstrom
4.481 0.000 0.000
0.000 4.481 0.000
0.000 0.000 3.943
! **N(E_F)**: 1.128 states/eV per atom
! **VASP energy**: -6.77 eV per atom
! **Symmetry**: P4/mmm

---

3.
! BaReIr, relaxed, DFT GGA-PBE; values from VASP
&SYSTEM
  ibrav = 0, nat = 6, ntyp = 3
/
ATOMIC_SPECIES
Ba 137.33 Ba.upf
Re 186.21 Re.upf
Ir 192.22 Ir.upf
ATOMIC_POSITIONS crystal
Ba 0.000 0.000 0.000
Ba 0.494 0.500 0.906
Re 0.166 0.000 0.505
Re 0.862 0.500 0.482
Ir 0.330 0.500 0.393
Ir 0.630 0.000 0.411
CELL_PARAMETERS angstrom
5.241 0.000 0.000
0.000 4.541 0.000
-1.637 0.000 6.047
! **N(E_F)**: 0.838 states/eV per atom
! **VASP energy**: -7.50 eV per atom
! **Symmetry**: Pm

---

4.
! BaReIr, relaxed, DFT GGA-PBE; values from VASP
&SYSTEM
  ibrav = 0, nat = 3, ntyp = 3
/
ATOMIC_SPECIES
Ba 137.33 Ba.upf
Re 186.21 Re.upf
Ir 192.22 Ir.upf
ATOMIC_POSITIONS crystal
Ba 0.000 0.000 0.000
Re 0.750 0.750 0.750
Ir 0.500 0.500 0.500
CELL_PARAMETERS angstrom
0.000 3.291 3.291
3.291 0.000 3.291
3.291 3.291 0.000
! **N(E_F)**: 2.345 states/eV per atom
! **VASP energy**: -6.36 eV per atom
! **Symmetry**: F-43m

---

5.
! BaReIr2, relaxed, DFT GGA-PBE; values from VASP
&SYSTEM
  ibrav = 0, nat = 4, ntyp = 3
/
ATOMIC_SPECIES
Ba 137.33 Ba.upf
Re 186.21 Re.upf
Ir 192.22 Ir.upf
ATOMIC_POSITIONS crystal
Ba 0.000 0.000 0.000
Re 0.179 0.500 0.584
Ir 0.540 0.000 0.529
Ir 0.590 0.500 0.271
CELL_PARAMETERS angstrom
3.007 0.000 0.000
0.000 4.404 0.000
-0.923 0.000 6.566
! **N(E_F)**: 1.037 states/eV per atom
! **VASP energy**: -7.45 eV per atom
! **Symmetry**: Pm

---

6.
! BaReIr, relaxed, DFT GGA-PBE; values from VASP
&SYSTEM
  ibrav = 0, nat = 6, ntyp = 3
/
ATOMIC_SPECIES
Ba 137.33 Ba.upf
Re 186.21 Re.upf
Ir 192.22 Ir.upf
ATOMIC_POSITIONS crystal
Ba 0.000 0.000 0.000
Ba 0.500 0.500 0.211
Re 0.463 0.000 0.584
Re 0.957 0.000 0.537
Ir 0.217 0.500 0.670
Ir 0.719 0.500 0.677
CELL_PARAMETERS angstrom
5.341 0.000 0.000
0.000 4.249 0.000
-0.175 0.000 6.716
! **N(E_F)**: 0.807 states/eV per atom
! **VASP energy**: -7.49 eV per atom
! **Symmetry**: Pm

---

7.
! BaReIr2, relaxed, DFT GGA-PBE; values from VASP
&SYSTEM
  ibrav = 0, nat = 4, ntyp = 3
/
ATOMIC_SPECIES
Ba 137.33 Ba.upf
Re 186.21 Re.upf
Ir 192.22 Ir.upf
ATOMIC_POSITIONS crystal
Ba 0.000 0.000 0.000
Re 0.500 0.500 0.645
Ir 0.000 0.000 0.502
Ir 0.500 0.500 0.305
CELL_PARAMETERS angstrom
2.853 0.000 0.000
0.000 3.890 0.000
0.000 0.000 7.472
! **N(E_F)**: 1.203 states/eV per atom
! **VASP energy**: -7.48 eV per atom
! **Symmetry**: Pmm2

---

8.
! BaReIr, relaxed, DFT GGA-PBE; values from VASP
&SYSTEM
  ibrav = 0, nat = 12, ntyp = 3
/
ATOMIC_SPECIES
Ba 137.33 Ba.upf
Re 186.21 Re.upf
Ir 192.22 Ir.upf
ATOMIC_POSITIONS crystal
Ba 0.148 0.250 0.147
Ba 0.352 0.750 0.647
Ba 0.648 0.250 0.353
Ba 0.852 0.750 0.853
Re 0.054 0.750 0.407
Re 0.446 0.250 0.907
Re 0.554 0.750 0.093
Re 0.946 0.250 0.593
Ir 0.183 0.250 0.437
Ir 0.317 0.750 0.937
Ir 0.683 0.250 0.063
Ir 0.817 0.750 0.563
CELL_PARAMETERS angstrom
6.839 0.000 0.000
0.000 4.431 0.000
0.000 0.000 11.902
! **N(E_F)**: 0.847 states/eV per atom
! **VASP energy**: -7.23 eV per atom
! **Symmetry**: Pnma

---

Number 1: relative energy among the computed polymorphs 38.6 kJ per mole of atoms, energy of formation 1.05 eV per atom. Number 2: relative energy among the computed polymorphs 113.0 kJ per mole of atoms, energy of formation 1.26 eV per atom. Number 3: relative energy among the computed polymorphs 7.4 kJ per mole of atoms, energy of formation 0.25 eV per atom. Number 4: relative energy among the computed polymorphs 117.0 kJ per mole of atoms, energy of formation 1.38 eV per atom. Number 5: relative energy among the computed polymorphs 46.6 kJ per mole of atoms, energy of formation 0.57 eV per atom. Number 6: relative energy among the computed polymorphs 8.0 kJ per mole of atoms, energy of formation 0.25 eV per atom. Number 7: relative energy among the computed polymorphs 44.4 kJ per mole of atoms, energy of formation 0.55 eV per atom. Number 8: relative energy among the computed polymorphs 33.2 kJ per mole of atoms, energy of formation 0.52 eV per atom.